Below is a geometry-optimized Ca2LaGaC structure, with properties calculated at the GGA-PBE level.

The density of states at the Fermi level is 3.533 states/eV/f.u. The calculated formation energy is -0.092 eV per atom. The value obtained for the final energy is -21.6 eV for the cell shown.

The space group is P4/mmm (No. 123) and the conventional cell measures 5.173, 5.173 and 4.816 Å, with angles of 90.00, 90.00 and 90.00 degrees. The distinct sites, in fractional coordinates, are Ca at (0.000, 0.500, 0.000), La at (0.000, 0.000, 0.500), Ga at (0.500, 0.500, 0.500) and C at (0.000, 0.000, 0.000).